A geometry-optimized Ag4I3F structure. Source: Alexandria via LeMat-Bulk, functional PBE-GGA. Values from VASP.

Quantum ESPRESSO input file:
```
&SYSTEM
  ibrav = 0, nat = 16, ntyp = 3
/
ATOMIC_SPECIES
Ag 107.87 Ag.upf
F 19.00 F.upf
I 126.90 I.upf
CELL_PARAMETERS angstrom
-7.074 1.788 -0.248
-1.662 -5.915 4.762
1.107 5.357 7.041
ATOMIC_POSITIONS angstrom
Ag -0.436 2.442 6.920
Ag -5.130 -1.493 5.007
Ag -1.037 -0.465 3.098
Ag -3.987 3.070 3.937
Ag -2.269 -5.005 4.165
Ag -5.106 0.107 0.722
Ag -2.056 -1.813 7.348
Ag -4.624 0.957 8.226
F -0.330 -1.020 0.828
F -4.396 -1.302 7.327
I -3.255 2.936 6.701
I -7.348 1.864 8.251
I -3.800 0.301 3.237
I -4.983 -4.152 3.943
I -7.910 -0.857 4.674
I 0.285 1.823 4.213
```

Results
Space-group type: Pmn2_1, No. 31
Total moment (Bohr magnetons per cell): 0.0
Formation energy from raw total energies (eV per atom): -0.4128
Energy (eV/atom): -2.654